DFT (PBE) results for a relaxed Er7Ni2Os2 crystal.

- Space group: Cmmm
- Energy: -66.96 eV/cell
- Density of states at the Fermi level: 8.27 states/eV per cell
- ΔE_f: -0.091 eV/atom

Cell: 6.380 6.380 6.675 Å, 90.00 90.00 107.71°
Sites, in units of the cell vectors:
Er 0.000 0.000 0.000
Er 0.000 0.500 0.270
Er 0.000 0.500 0.730
Er 0.500 0.000 0.270
Er 0.500 0.000 0.730
Er 0.500 0.500 0.259
Er 0.500 0.500 0.741
Ni 0.286 0.714 0.000
Ni 0.714 0.286 0.000
Os 0.173 0.173 0.500
Os 0.827 0.827 0.500